Below is an optimized crystal structure of Ba2La2NiW2O12, with properties calculated at the PBE with a Hubbard U level.

The structure in CIF format:
```
data_Ba2La2NiW2O12
_space_group_name_H-M_alt 'R -3 m'
_space_group_IT_number 166
_space_group_name_Hall '-R 3 2"'
_cell_length_a 5.7196
_cell_length_b 5.7196
_cell_length_c 27.8320
_cell_angle_alpha 90.00
_cell_angle_beta 90.00
_cell_angle_gamma 120.00
loop_
_atom_site_label
_atom_site_fract_x
_atom_site_fract_y
_atom_site_fract_z
_atom_site_occupancy
Ba1 0.0000 0.0000 0.1339 1
La1 0.0000 0.0000 0.2930 1
Ni1 0.0000 0.0000 0.0000 1
W1 0.0000 0.0000 0.4172 1
O1 0.9997 0.4999 0.1169 1
O2 0.0221 0.5111 0.2957 1
```

Results
DFT total energy ... -7.332 eV/atom